[1]
Computed, not measured: a relaxed CrInC2 crystal at the PBE level of DFT.

* DFT formation energy: 0.82 eV/atom
* calculated total energy: -55.09 eV for the cell shown
* DOS at the Fermi energy: 0.350 states/eV per atom

Cell and atoms, written as CIF:
```
data_CrInC2
_chemical_formula_sum 'Cr2 In2 C4'
_cell_length_a 5.766
_cell_length_b 5.766
_cell_length_c 5.766
_cell_angle_alpha 130.21
_cell_angle_beta 130.21
_cell_angle_gamma 73.08
_symmetry_space_group_name_H-M 'P 1'
_symmetry_Int_Tables_number 1
loop_
_symmetry_equiv_pos_as_xyz
'x,y,z'
loop_
_atom_site_label
_atom_site_type_symbol
_atom_site_fract_x
_atom_site_fract_y
_atom_site_fract_z
Cr1 Cr 0.000 0.000 0.000
Cr2 Cr 0.750 0.250 0.500
In1 In 0.250 0.750 0.500
In2 In 0.500 0.500 0.000
C1 C 0.056 0.625 0.931
C2 C 0.375 0.306 0.431
C3 C 0.694 0.125 0.069
C4 C 0.875 0.944 0.569
```

***

[2]
Computed, not measured: a relaxed Ce8RuRh2 crystal at the PBE level of DFT.

* DFT formation energy: -0.31 eV/atom
* calculated total energy: -74.89 eV for the cell shown
* DOS at the Fermi energy: 2.366 states/eV per atom

Cell and atoms, written as CIF:
```
data_Ce8RuRh2
_chemical_formula_sum 'Ce8 Ru1 Rh2'
_cell_length_a 9.153
_cell_length_b 9.153
_cell_length_c 6.790
_cell_angle_alpha 109.78
_cell_angle_beta 109.78
_cell_angle_gamma 29.25
_symmetry_space_group_name_H-M 'P 1'
_symmetry_Int_Tables_number 1
loop_
_symmetry_equiv_pos_as_xyz
'x,y,z'
loop_
_atom_site_label
_atom_site_type_symbol
_atom_site_fract_x
_atom_site_fract_y
_atom_site_fract_z
Ce1 Ce 0.004 0.004 0.257
Ce2 Ce 0.198 0.198 0.810
Ce3 Ce 0.330 0.330 0.471
Ce4 Ce 0.409 0.409 0.009
Ce5 Ce 0.591 0.591 0.991
Ce6 Ce 0.670 0.670 0.529
Ce7 Ce 0.802 0.802 0.190
Ce8 Ce 0.996 0.996 0.743
Ru1 Ru 0.500 0.500 0.500
Rh1 Rh 0.163 0.163 0.249
Rh2 Rh 0.837 0.837 0.751
```

***

[3]
Computed, not measured: a relaxed TaCr2Tc crystal at the PBE level of DFT.

* DFT formation energy: -0.04 eV/atom
* calculated total energy: -41.61 eV for the cell shown
* DOS at the Fermi energy: 0.831 states/eV per atom

Cell and atoms, written as CIF:
```
data_TaCr2Tc
_chemical_formula_sum 'Ta1 Cr2 Tc1'
_cell_length_a 5.030
_cell_length_b 5.030
_cell_length_c 5.030
_cell_angle_alpha 144.89
_cell_angle_beta 129.15
_cell_angle_gamma 63.30
_symmetry_space_group_name_H-M 'P 1'
_symmetry_Int_Tables_number 1
loop_
_symmetry_equiv_pos_as_xyz
'x,y,z'
loop_
_atom_site_label
_atom_site_type_symbol
_atom_site_fract_x
_atom_site_fract_y
_atom_site_fract_z
Ta1 Ta 0.000 0.000 0.000
Cr1 Cr 0.506 0.506 0.000
Cr2 Cr 0.745 0.245 0.500
Tc1 Tc 0.258 0.758 0.500
```

***

[4]
Computed, not measured: a relaxed Er4SnRh crystal at the PBE level of DFT.

* DFT formation energy: -0.49 eV/atom
* calculated total energy: -32.54 eV for the cell shown
* DOS at the Fermi energy: 0.942 states/eV per atom

Cell and atoms, written as CIF:
```
data_Er4SnRh
_chemical_formula_sum 'Er4 Sn1 Rh1'
_cell_length_a 4.847
_cell_length_b 4.847
_cell_length_c 7.318
_cell_angle_alpha 90.05
_cell_angle_beta 90.05
_cell_angle_gamma 90.00
_symmetry_space_group_name_H-M 'P 1'
_symmetry_Int_Tables_number 1
loop_
_symmetry_equiv_pos_as_xyz
'x,y,z'
loop_
_atom_site_label
_atom_site_type_symbol
_atom_site_fract_x
_atom_site_fract_y
_atom_site_fract_z
Er1 Er 0.000 0.500 0.224
Er2 Er 0.000 0.500 0.776
Er3 Er 0.500 0.000 0.224
Er4 Er 0.500 0.000 0.776
Sn1 Sn 0.000 0.000 0.500
Rh1 Rh 0.500 0.500 0.000
```

***

[5]
Computed, not measured: a relaxed CeTmPu2 crystal at the PBE level of DFT.

* DFT formation energy: 0.21 eV/atom
* calculated total energy: -38.24 eV for the cell shown
* DOS at the Fermi energy: 2.857 states/eV per atom

Cell and atoms, written as CIF:
```
data_CeTmPu2
_chemical_formula_sum 'Ce1 Tm1 Pu2'
_cell_length_a 5.408
_cell_length_b 5.408
_cell_length_c 5.408
_cell_angle_alpha 60.00
_cell_angle_beta 60.00
_cell_angle_gamma 60.00
_symmetry_space_group_name_H-M 'P 1'
_symmetry_Int_Tables_number 1
loop_
_symmetry_equiv_pos_as_xyz
'x,y,z'
loop_
_atom_site_label
_atom_site_type_symbol
_atom_site_fract_x
_atom_site_fract_y
_atom_site_fract_z
Ce1 Ce 0.000 0.000 0.000
Tm1 Tm 0.500 0.500 0.500
Pu1 Pu 0.250 0.250 0.250
Pu2 Pu 0.750 0.750 0.750
```

***

[6]
Computed, not measured: a relaxed YCr3Se crystal at the PBE level of DFT.

* calculated total energy: -36.30 eV for the cell shown
* DOS at the Fermi energy: 0.231 states/eV per atom

Cell and atoms, written as CIF:
```
data_YCr3Se
_chemical_formula_sum 'Y1 Cr3 Se1'
_cell_length_a 4.582
_cell_length_b 4.582
_cell_length_c 4.582
_cell_angle_alpha 90.00
_cell_angle_beta 90.00
_cell_angle_gamma 90.00
_symmetry_space_group_name_H-M 'P 1'
_symmetry_Int_Tables_number 1
loop_
_symmetry_equiv_pos_as_xyz
'x,y,z'
loop_
_atom_site_label
_atom_site_type_symbol
_atom_site_fract_x
_atom_site_fract_y
_atom_site_fract_z
Y1 Y 0.000 0.000 0.000
Cr1 Cr 0.000 0.500 0.500
Cr2 Cr 0.500 0.000 0.500
Cr3 Cr 0.500 0.500 0.000
Se1 Se 0.500 0.500 0.500
```

***

[7]
Computed, not measured: a relaxed VIn2Ga crystal at the PBE level of DFT.

* DFT formation energy: 0.12 eV/atom
* calculated total energy: -17.13 eV for the cell shown
* DOS at the Fermi energy: 0.715 states/eV per atom

Cell and atoms, written as CIF:
```
data_VIn2Ga
_chemical_formula_sum 'V1 In2 Ga1'
_cell_length_a 2.931
_cell_length_b 2.981
_cell_length_c 9.375
_cell_angle_alpha 90.00
_cell_angle_beta 99.06
_cell_angle_gamma 90.00
_symmetry_space_group_name_H-M 'P 1'
_symmetry_Int_Tables_number 1
loop_
_symmetry_equiv_pos_as_xyz
'x,y,z'
loop_
_atom_site_label
_atom_site_type_symbol
_atom_site_fract_x
_atom_site_fract_y
_atom_site_fract_z
V1 V 0.000 0.000 0.000
In1 In 0.231 0.500 0.461
In2 In 0.390 0.500 0.782
Ga1 Ga 0.592 0.500 0.185
```

***

[8]
Computed, not measured: a relaxed RePIr crystal at the PBE level of DFT.

* DFT formation energy: -0.05 eV/atom
* calculated total energy: -26.87 eV for the cell shown
* DOS at the Fermi energy: 0.631 states/eV per atom

Cell and atoms, written as CIF:
```
data_RePIr
_chemical_formula_sum 'Re1 P1 Ir1'
_cell_length_a 5.270
_cell_length_b 5.270
_cell_length_c 5.270
_cell_angle_alpha 147.93
_cell_angle_beta 147.93
_cell_angle_gamma 45.99
_symmetry_space_group_name_H-M 'P 1'
_symmetry_Int_Tables_number 1
loop_
_symmetry_equiv_pos_as_xyz
'x,y,z'
loop_
_atom_site_label
_atom_site_type_symbol
_atom_site_fract_x
_atom_site_fract_y
_atom_site_fract_z
Re1 Re 0.000 0.000 0.000
P1 P 0.636 0.636 0.000
Ir1 Ir 0.298 0.298 0.000
```

***

[9]
Computed, not measured: a relaxed Cs2LiTe2O6 crystal at the PBE level of DFT.

* calculated total energy: -53.55 eV for the cell shown
* DOS at the Fermi energy: 0.312 states/eV per atom

Cell and atoms, written as CIF:
```
data_Cs2LiTe2O6
_chemical_formula_sum 'Cs2 Li1 Te2 O6'
_cell_length_a 7.586
_cell_length_b 7.586
_cell_length_c 8.022
_cell_angle_alpha 116.56
_cell_angle_beta 116.56
_cell_angle_gamma 45.41
_symmetry_space_group_name_H-M 'P 1'
_symmetry_Int_Tables_number 1
loop_
_symmetry_equiv_pos_as_xyz
'x,y,z'
loop_
_atom_site_label
_atom_site_type_symbol
_atom_site_fract_x
_atom_site_fract_y
_atom_site_fract_z
Cs1 Cs 0.221 0.221 0.245
Cs2 Cs 0.779 0.779 0.755
Li1 Li 0.000 0.000 0.500
Te1 Te 0.491 0.491 0.214
Te2 Te 0.509 0.509 0.786
O1 O 0.190 0.695 0.294
O2 O 0.305 0.810 0.706
O3 O 0.356 0.356 0.655
O4 O 0.644 0.644 0.345
O5 O 0.695 0.190 0.294
O6 O 0.810 0.305 0.706
```

***

[10]
Computed, not measured: a relaxed NiBAs2Se crystal at the PBE level of DFT.

* calculated total energy: -20.73 eV for the cell shown
* DOS at the Fermi energy: 0.494 states/eV per atom

Cell and atoms, written as CIF:
```
data_NiBAs2Se
_chemical_formula_sum 'Ni1 B1 As2 Se1'
_cell_length_a 4.295
_cell_length_b 4.295
_cell_length_c 4.414
_cell_angle_alpha 90.00
_cell_angle_beta 90.00
_cell_angle_gamma 90.00
_symmetry_space_group_name_H-M 'P 1'
_symmetry_Int_Tables_number 1
loop_
_symmetry_equiv_pos_as_xyz
'x,y,z'
loop_
_atom_site_label
_atom_site_type_symbol
_atom_site_fract_x
_atom_site_fract_y
_atom_site_fract_z
Ni1 Ni 0.000 0.000 0.000
B1 B 0.500 0.500 0.500
As1 As 0.000 0.500 0.500
As2 As 0.500 0.000 0.500
Se1 Se 0.500 0.500 0.000
```

***

[11]
Computed, not measured: a relaxed HfU2Se6 crystal at the PBE level of DFT.

* calculated total energy: -64.08 eV for the cell shown
* DOS at the Fermi energy: 1.336 states/eV per atom

Cell and atoms, written as CIF:
```
data_HfU2Se6
_chemical_formula_sum 'Hf1 U2 Se6'
_cell_length_a 7.837
_cell_length_b 7.837
_cell_length_c 9.839
_cell_angle_alpha 107.10
_cell_angle_beta 107.10
_cell_angle_gamma 29.52
_symmetry_space_group_name_H-M 'P 1'
_symmetry_Int_Tables_number 1
loop_
_symmetry_equiv_pos_as_xyz
'x,y,z'
loop_
_atom_site_label
_atom_site_type_symbol
_atom_site_fract_x
_atom_site_fract_y
_atom_site_fract_z
Hf1 Hf 0.000 0.000 0.000
U1 U 0.337 0.337 0.673
U2 U 0.663 0.663 0.327
Se1 Se 0.026 0.026 0.281
Se2 Se 0.301 0.301 0.374
Se3 Se 0.374 0.374 0.972
Se4 Se 0.626 0.626 0.028
Se5 Se 0.699 0.699 0.626
Se6 Se 0.974 0.974 0.719
```

***

[12]
Computed, not measured: a relaxed SmMgInPt crystal at the PBE level of DFT.

* DFT formation energy: -0.64 eV/atom
* calculated total energy: -17.64 eV for the cell shown
* DOS at the Fermi energy: 0.453 states/eV per atom

Cell and atoms, written as CIF:
```
data_SmMgInPt
_chemical_formula_sum 'Sm1 Mg1 In1 Pt1'
_cell_length_a 4.990
_cell_length_b 4.990
_cell_length_c 4.990
_cell_angle_alpha 60.00
_cell_angle_beta 60.00
_cell_angle_gamma 60.00
_symmetry_space_group_name_H-M 'P 1'
_symmetry_Int_Tables_number 1
loop_
_symmetry_equiv_pos_as_xyz
'x,y,z'
loop_
_atom_site_label
_atom_site_type_symbol
_atom_site_fract_x
_atom_site_fract_y
_atom_site_fract_z
Sm1 Sm 0.000 0.000 0.000
Mg1 Mg 0.500 0.500 0.500
In1 In 0.250 0.250 0.250
Pt1 Pt 0.750 0.750 0.750
```